VASP calculation (GGA-PBE) on a geometry-optimized Li2TaMo structure.

Mass density, g/cm3: 7.66
Space group: F-43m
Polymorph energy (0 for the lowest one), eV per formula unit: 1.621
ΔE_f, eV per atom: 0.603

Lattice parameters (Å, degrees): 4.467 4.467 4.467 60.00 60.00 60.00
Atoms (fractional coordinates):
Li (0.000, 0.000, 0.000)
Li (0.250, 0.250, 0.250)
Ta (0.750, 0.750, 0.750)
Mo (0.500, 0.500, 0.500)